Entry from Alexandria via LeMat-Bulk: an optimized crystal structure of SrZnGa2Rh2 (GGA-PBE).

Cell lengths 4.6513, 4.6513, 5.7246 Å; angles 90.00, 90.00, 90.00 degrees
Last column: nearest neighbours and their distance in Å.
Element x y z (fractional)
Ga 0.5000 0.5000 0.7568  4 Rh 2.71, 2 Ga 2.78-2.94
Ga 0.5000 0.5000 0.2432  4 Rh 2.71, 2 Ga 2.78-2.94
Rh 0.5000 0.0000 0.0000  2 Zn 2.33
Rh 0.0000 0.5000 0.0000  2 Zn 2.33
Sr 0.0000 0.0000 0.5000  2 Zn 2.86
Zn 0.0000 0.0000 0.0000  4 Rh 2.33

* DOS(E_F): 6.14 states/eV/cell
* formation enthalpy at 0 K: -310.2 meV/atom
* energy: -25.574 eV/cell
* density: 6.7 g/cm3

Entry from Alexandria via LeMat-Bulk: an optimized crystal structure of Y3Ho8Sc (GGA-PBE).

Cell lengths 7.6079, 7.6079, 9.3493 Å; angles 114.01, 114.01, 90.00 degrees
Last column: nearest neighbours and their distance in Å.
Element x y z (fractional)
Ho 0.3667 0.3667 0.2437  1 Sc 3.23, 3 Y 3.32-3.33
Ho 0.6333 0.1231 0.7563  1 Sc 3.23, 3 Y 3.32-3.33
Ho 0.1231 0.6333 0.7563  1 Sc 3.23, 3 Y 3.32-3.33
Ho 0.6333 0.6333 0.7563  1 Sc 3.23, 3 Y 3.32-3.33
Ho 0.8769 0.8769 0.2437  1 Sc 3.23, 3 Y 3.32-3.33
Ho 0.3667 0.8769 0.2437  1 Sc 3.23, 3 Y 3.32-3.33
Ho 0.1231 0.1231 0.7563  1 Sc 3.23, 3 Y 3.32-3.33
Ho 0.8769 0.3667 0.2437  1 Sc 3.23, 3 Y 3.32-3.33
Y 0.7500 0.2500 0.5000  8 Ho 3.33
Y 0.5000 0.5000 0.0000  8 Ho 3.32
Y 0.2500 0.7500 0.5000  8 Ho 3.33
Sc 0.0000 0.0000 0.0000  8 Ho 3.23

* DOS(E_F): 14.02 states/eV/cell
* formation enthalpy at 0 K: 743.9 meV/atom
* energy: -53.419 eV/cell
* density: 6.1 g/cm3

Entry from Alexandria via LeMat-Bulk: an optimized crystal structure of Th2MgCu (GGA-PBE).

Cell lengths 3.6018, 3.6018, 7.8574 Å; angles 90.00, 90.00, 90.00 degrees
Last column: nearest neighbours and their distance in Å.
Element x y z (fractional)
Cu 0.5000 0.5000 0.0000  8 Th 3.10
Th 0.0000 0.0000 0.2244  4 Cu 3.10, 4 Mg 3.34
Th 0.0000 0.0000 0.7756  4 Cu 3.10, 4 Mg 3.34
Mg 0.5000 0.5000 0.5000  8 Th 3.34, 4 Mg 3.60

* DOS(E_F): 3.68 states/eV/cell
* formation enthalpy at 0 K: 23.4 meV/atom
* polymorph energy (0 for the lowest one): 0.0 meV/atom
* energy: -20.437 eV/cell
* density: 9.0 g/cm3

Entry from Alexandria via LeMat-Bulk: an optimized crystal structure of SbAuS2Cl (GGA-PBE).

Cell lengths 4.9219, 4.9219, 4.7658 Å; angles 90.00, 90.00, 90.00 degrees
Last column: nearest neighbours and their distance in Å.
Element x y z (fractional)
Sb 0.5000 0.5000 0.5000  8 S 3.43, 4 Cl 3.48
S 0.0000 0.5000 0.0000  2 Au 2.46
S 0.5000 0.0000 0.0000  2 Au 2.46
Au 0.0000 0.0000 0.0000  2 Cl 2.38, 4 S 2.46
Cl 0.0000 0.0000 0.5000  2 Au 2.38

* DOS(E_F): 2.21 states/eV/cell
* polymorph energy (0 for the lowest one): 0.0 meV/atom
* energy: -15.514 eV/cell
* formation energy from raw total energies: 0.3975 eV/atom
* density: 6.0 g/cm3

Among the records above, which one has the highest density?
Th2MgCu